{
  "formula": "SrSc2Ni",
  "functional": "PBE-GGA",
  "state": "optimized geometry",
  "lattice": [[3.3168, 0.0000, 0.0000], [0.0000, 3.3244, 0.0000], [-0.0095, 0.0000, 9.0454]],
  "species": ["Sr", "Sc", "Sc", "Ni"],
  "frac_coords": [[0.0000, 0.0000, 0.0000], [0.4996, 0.5000, 0.3381], [0.5004, 0.5000, 0.6619], [0.0000, 0.0000, 0.5000]],
  "rho_g_cm3": 3.9,
  "sg": "P2/m",
  "formation_energy_ev_per_atom": -0.04,
  "relative_energy_mev_per_atom": 0.0
}